Model a:
# ZnAgBr, relaxed, DFT PBE-GGA
data_ZnAgBr
_chemical_formula_sum 'Zn4 Ag4 Br4'
_cell_length_a 3.556
_cell_length_b 6.370
_cell_length_c 12.474
_cell_angle_alpha 90.00
_cell_angle_beta 90.00
_cell_angle_gamma 90.00
_symmetry_space_group_name_H-M 'F m m 2'
_symmetry_Int_Tables_number 42
_symmetry_space_group_name_Hall 'F 2 -2'
loop_
_atom_site_label
_atom_site_fract_x
_atom_site_fract_y
_atom_site_fract_z
Zn1 0.000 0.000 0.000
Ag1 0.000 0.000 0.349
Br1 0.000 0.000 0.653
# - ρ: 5.95 g/cm3

=====

Model b:
# ZnAgBr, relaxed, DFT PBE-GGA
data_ZnAgBr
_chemical_formula_sum 'Zn1 Ag1 Br1'
_cell_length_a 3.5984
_cell_length_b 3.5984
_cell_length_c 5.8330
_cell_angle_alpha 90.00
_cell_angle_beta 90.00
_cell_angle_gamma 120.00
_symmetry_space_group_name_H-M 'P 3 m 1'
_symmetry_Int_Tables_number 156
_symmetry_space_group_name_Hall 'P 3 -2"'
loop_
_atom_site_label
_atom_site_fract_x
_atom_site_fract_y
_atom_site_fract_z
Zn1 0.0000 0.0000 0.0000
Ag1 0.6667 0.3333 0.2906
Br1 0.3333 0.6667 0.6911
# - ρ: 6.43 g/cm3

=====

Relative stability in meV/atom, measured from the most stable structure: model a 94; model b 0